This record from Alexandria describes a relaxed GdCdCu crystal. The functional is PBE.

Unit cell a=7.598 b=7.598 c=3.905 alpha=90.00 beta=90.00 gamma=120.00
Each line ends with the local moment (μB).
Sites, in units of the cell vectors:
Cd  0.748  0.748  0.000  0.01
Gd  0.000  0.590  0.500  7.05
Cu  0.667  0.333  0.000  0.00
Cd  0.000  0.252  0.000  0.01
Cu  0.000  0.000  0.500  0.01
Cu  0.333  0.667  0.000  0.00
Gd  0.590  0.000  0.500  7.05
Gd  0.410  0.410  0.500  7.05
Cd  0.252  0.000  0.000  0.01

Results
Energy of formation from the pure elements: -0.287 eV per atom
Space group: No. 189
Energy above the most stable polymorph in this dataset: 0 meV per atom